[1]
Here is a relaxed structure of Pm5Pr3Sc2 from Alexandria. Energies are from GGA-PBE.

Values from the calculation:
ΔE_f (eV per atom): 0.042
Crystal system: triclinic
E (eV/f.u.): -50.33

Geometry as CIF:
```
data_Pm5Pr3Sc2
_space_group_name_H-M_alt 'P -1'
_space_group_IT_number 2
_cell_length_a 9.493
_cell_length_b 9.495
_cell_length_c 9.501
_cell_angle_alpha 106.61
_cell_angle_beta 106.75
_cell_angle_gamma 115.17
loop_
_space_group_symop_operation_xyz
'x,y,z'
'-x,-y,-z'
loop_
_atom_site_label
_atom_site_type_symbol
_atom_site_fract_x
_atom_site_fract_y
_atom_site_fract_z
_atom_site_occupancy
Pm1 Pm 0.020 0.074 0.345 1
Pm2 Pm 0.132 0.383 0.751 1
Pm3 Pm 0.229 0.675 0.154 1
Pm4 Pm 0.275 0.821 0.849 1
Pm5 Pm 0.380 0.130 0.249 1
Pr1 Pr 0.079 0.230 0.052 1
Pr2 Pr 0.321 0.971 0.552 1
Pr3 Pr 0.472 0.426 0.652 1
Sc1 Sc 0.167 0.523 0.451 1
Sc2 Sc 0.427 0.281 0.951 1
```

[2]
Here is a relaxed structure of Pm8Pr2Sc3 from Alexandria. Energies are from GGA-PBE.

Values from the calculation:
ΔE_f (eV per atom): 0.179
Crystal system: monoclinic
E (eV/f.u.): -64.23

Geometry as CIF:
```
data_Pm8Pr2Sc3
_space_group_name_H-M_alt 'C 1 2/m 1'
_space_group_IT_number 12
_cell_length_a 13.394
_cell_length_b 11.503
_cell_length_c 6.005
_cell_angle_alpha 90.00
_cell_angle_beta 113.06
_cell_angle_gamma 90.00
loop_
_space_group_symop_operation_xyz
'x,y,z'
'-x,-y,-z'
'-x,y,-z'
'x,-y,z'
'x+1/2,y+1/2,z'
'-x+1/2,-y+1/2,-z'
'-x+1/2,y+1/2,-z'
'x+1/2,-y+1/2,z'
loop_
_atom_site_label
_atom_site_type_symbol
_atom_site_fract_x
_atom_site_fract_y
_atom_site_fract_z
_atom_site_occupancy
Pm1 Pm 0.083 0.000 0.271 1
Pm2 Pm 0.136 0.500 0.611 1
Pm3 Pm 0.154 0.266 0.148 1
Pr1 Pr 0.184 0.000 0.837 1
Sc1 Sc 0.000 0.238 0.500 1
Sc2 Sc 0.000 0.500 0.000 1
```

[3]
Here is a relaxed structure of Pm5Pr2Sc2 from Alexandria. Energies are from GGA-PBE.

Values from the calculation:
ΔE_f (eV per atom): 0.241
Crystal system: orthorhombic
Energy relative to the lowest polymorph listed for this composition (kcal/mol of atoms): 4.87
E (eV/f.u.): -43.80

Geometry as CIF:
```
data_Pm5Pr2Sc2
_space_group_name_H-M_alt 'I m a 2'
_space_group_IT_number 46
_cell_length_a 15.759
_cell_length_b 11.458
_cell_length_c 6.610
_cell_angle_alpha 90.00
_cell_angle_beta 90.00
_cell_angle_gamma 90.00
loop_
_space_group_symop_operation_xyz
'x,y,z'
'-x,-y,z'
'-x+1/2,y,z'
'x+1/2,-y,z'
'x+1/2,y+1/2,z+1/2'
'-x+1/2,-y+1/2,z+1/2'
'-x,y+1/2,z+1/2'
'x,-y+1/2,z+1/2'
loop_
_atom_site_label
_atom_site_type_symbol
_atom_site_fract_x
_atom_site_fract_y
_atom_site_fract_z
_atom_site_occupancy
Pm1 Pm 0.061 0.235 0.000 1
Pm2 Pm 0.148 0.712 0.916 1
Pm3 Pm 0.250 0.155 0.650 1
Pr1 Pr 0.000 0.000 0.254 1
Pr2 Pr 0.250 0.021 0.142 1
Sc1 Sc 0.093 0.525 0.259 1
```

[4]
Here is a relaxed structure of Pm3PrSc6 from Alexandria. Energies are from GGA-PBE.

Values from the calculation:
ΔE_f (eV per atom): 0.222
Crystal system: orthorhombic
E (eV/f.u.): -54.80

Geometry as CIF:
```
data_Pm3PrSc6
_space_group_name_H-M_alt 'C m c 21'
_space_group_IT_number 36
_cell_length_a 12.892
_cell_length_b 13.719
_cell_length_c 6.641
_cell_angle_alpha 90.00
_cell_angle_beta 90.00
_cell_angle_gamma 90.00
loop_
_space_group_symop_operation_xyz
'x,y,z'
'-x,-y,z+1/2'
'-x,y,z'
'x,-y,z+1/2'
'x+1/2,y+1/2,z'
'-x+1/2,-y+1/2,z+1/2'
'-x+1/2,y+1/2,z'
'x+1/2,-y+1/2,z+1/2'
loop_
_atom_site_label
_atom_site_type_symbol
_atom_site_fract_x
_atom_site_fract_y
_atom_site_fract_z
_atom_site_occupancy
Pm1 Pm 0.000 0.093 0.000 1
Pm2 Pm 0.209 0.460 0.721 1
Pr1 Pr 0.000 0.307 0.191 1
Sc1 Sc 0.000 0.293 0.698 1
Sc2 Sc 0.000 0.495 0.458 1
Sc3 Sc 0.114 0.116 0.514 1
Sc4 Sc 0.233 0.214 0.895 1
```

[5]
Here is a relaxed structure of Pm8PrSc2 from Alexandria. Energies are from GGA-PBE.

Values from the calculation:
ΔE_f (eV per atom): 0.156
Crystal system: monoclinic
Energy relative to the lowest polymorph listed for this composition (kcal/mol of atoms): 0.79
E (eV/f.u.): -53.73

Geometry as CIF:
```
data_Pm8PrSc2
_space_group_name_H-M_alt 'C 1 2/m 1'
_space_group_IT_number 12
_cell_length_a 9.028
_cell_length_b 16.203
_cell_length_c 5.915
_cell_angle_alpha 90.00
_cell_angle_beta 122.64
_cell_angle_gamma 90.00
loop_
_space_group_symop_operation_xyz
'x,y,z'
'-x,-y,-z'
'-x,y,-z'
'x,-y,z'
'x+1/2,y+1/2,z'
'-x+1/2,-y+1/2,-z'
'-x+1/2,y+1/2,-z'
'x+1/2,-y+1/2,z'
loop_
_atom_site_label
_atom_site_type_symbol
_atom_site_fract_x
_atom_site_fract_y
_atom_site_fract_z
_atom_site_occupancy
Pm1 Pm 0.000 0.209 0.000 1
Pm2 Pm 0.077 0.500 0.793 1
Pm3 Pm 0.218 0.121 0.674 1
Pr1 Pr 0.000 0.000 0.000 1
Sc1 Sc 0.000 0.310 0.500 1
```

[6]
Here is a relaxed structure of Pm3Pr2Sc2 from Alexandria. Energies are from GGA-PBE.

Values from the calculation:
ΔE_f (eV per atom): 0.051
Crystal system: triclinic
E (eV/f.u.): -36.12

Geometry as CIF:
```
data_Pm3Pr2Sc2
_space_group_name_H-M_alt 'P -1'
_space_group_IT_number 2
_cell_length_a 3.573
_cell_length_b 7.895
_cell_length_c 8.720
_cell_angle_alpha 111.07
_cell_angle_beta 90.06
_cell_angle_gamma 103.06
loop_
_space_group_symop_operation_xyz
'x,y,z'
'-x,-y,-z'
loop_
_atom_site_label
_atom_site_type_symbol
_atom_site_fract_x
_atom_site_fract_y
_atom_site_fract_z
_atom_site_occupancy
Pm1 Pm 0.000 0.000 0.000 1
Pm2 Pm 0.136 0.271 0.431 1
Pr1 Pr 0.281 0.562 0.850 1
Sc1 Sc 0.430 0.860 0.287 1
```

[7]
Here is a relaxed structure of Pm5Pr6Sc from Alexandria. Energies are from GGA-PBE.

Values from the calculation:
ΔE_f (eV per atom): 0.025
Crystal system: orthorhombic
E (eV/f.u.): -58.46

Geometry as CIF:
```
data_Pm5Pr6Sc
_space_group_name_H-M_alt 'I m m m'
_space_group_IT_number 71
_space_group_name_Hall '-I 2 2'
_cell_length_a 5.184
_cell_length_b 10.275
_cell_length_c 15.505
_cell_angle_alpha 90.00
_cell_angle_beta 90.00
_cell_angle_gamma 90.00
loop_
_atom_site_label
_atom_site_type_symbol
_atom_site_fract_x
_atom_site_fract_y
_atom_site_fract_z
_atom_site_occupancy
Pm1 Pm 0.000 0.000 0.000 1
Pm2 Pm 0.000 0.000 0.335 1
Pm3 Pm 0.000 0.500 0.334 1
Pr1 Pr 0.000 0.244 0.500 1
Pr2 Pr 0.000 0.254 0.165 1
Sc1 Sc 0.000 0.500 0.000 1
```

[8]
Here is a relaxed structure of Pm4Pr5Sc3 from Alexandria. Energies are from GGA-PBE.

Values from the calculation:
ΔE_f (eV per atom): 0.217
Crystal system: monoclinic
E (eV/f.u.): -59.30

Geometry as CIF:
```
data_Pm4Pr5Sc3
_space_group_name_H-M_alt 'C 1 2/m 1'
_space_group_IT_number 12
_cell_length_a 16.009
_cell_length_b 5.878
_cell_length_c 9.571
_cell_angle_alpha 90.00
_cell_angle_beta 117.59
_cell_angle_gamma 90.00
loop_
_space_group_symop_operation_xyz
'x,y,z'
'-x,-y,-z'
'-x,y,-z'
'x,-y,z'
'x+1/2,y+1/2,z'
'-x+1/2,-y+1/2,-z'
'-x+1/2,y+1/2,-z'
'x+1/2,-y+1/2,z'
loop_
_atom_site_label
_atom_site_type_symbol
_atom_site_fract_x
_atom_site_fract_y
_atom_site_fract_z
_atom_site_occupancy
Pm1 Pm 0.094 0.000 0.462 1
Pm2 Pm 0.214 0.000 0.894 1
Pr1 Pr 0.000 0.500 0.000 1
Pr2 Pr 0.065 0.500 0.706 1
Pr3 Pr 0.221 0.000 0.260 1
Sc1 Sc 0.000 0.000 0.000 1
Sc2 Sc 0.171 0.500 0.369 1
```

[9]
Here is a relaxed structure of Pm2Pr6Sc from Alexandria. Energies are from GGA-PBE.

Values from the calculation:
ΔE_f (eV per atom): 0.148
Crystal system: monoclinic
Energy relative to the lowest polymorph listed for this composition (kcal/mol of atoms): 1.39
E (eV/f.u.): -43.18

Geometry as CIF:
```
data_Pm2Pr6Sc
_space_group_name_H-M_alt 'C 1 2/m 1'
_space_group_IT_number 12
_cell_length_a 10.267
_cell_length_b 7.282
_cell_length_c 8.707
_cell_angle_alpha 90.00
_cell_angle_beta 106.18
_cell_angle_gamma 90.00
loop_
_space_group_symop_operation_xyz
'x,y,z'
'-x,-y,-z'
'-x,y,-z'
'x,-y,z'
'x+1/2,y+1/2,z'
'-x+1/2,-y+1/2,-z'
'-x+1/2,y+1/2,-z'
'x+1/2,-y+1/2,z'
loop_
_atom_site_label
_atom_site_type_symbol
_atom_site_fract_x
_atom_site_fract_y
_atom_site_fract_z
_atom_site_occupancy
Pm1 Pm 0.224 0.000 0.453 1
Pr1 Pr 0.055 0.259 0.709 1
Pr2 Pr 0.171 0.500 0.084 1
Sc1 Sc 0.000 0.000 0.000 1
```

[10]
Here is a relaxed structure of Pm5Pr12Sc2 from Alexandria. Energies are from GGA-PBE.

Values from the calculation:
ΔE_f (eV per atom): 0.142
Crystal system: monoclinic
Energy relative to the lowest polymorph listed for this composition (kcal/mol of atoms): 0.00
E (eV/f.u.): -91.07

Geometry as CIF:
```
data_Pm5Pr12Sc2
_space_group_name_H-M_alt 'C 1 2/m 1'
_space_group_IT_number 12
_cell_length_a 22.757
_cell_length_b 7.145
_cell_length_c 8.864
_cell_angle_alpha 90.00
_cell_angle_beta 112.07
_cell_angle_gamma 90.00
loop_
_space_group_symop_operation_xyz
'x,y,z'
'-x,-y,-z'
'-x,y,-z'
'x,-y,z'
'x+1/2,y+1/2,z'
'-x+1/2,-y+1/2,-z'
'-x+1/2,y+1/2,-z'
'x+1/2,-y+1/2,z'
loop_
_atom_site_label
_atom_site_type_symbol
_atom_site_fract_x
_atom_site_fract_y
_atom_site_fract_z
_atom_site_occupancy
Pm1 Pm 0.000 0.000 0.000 1
Pm2 Pm 0.146 0.500 0.595 1
Pm3 Pm 0.248 0.000 0.986 1
Pr1 Pr 0.049 0.500 0.200 1
Pr2 Pr 0.104 0.254 0.876 1
Pr3 Pr 0.129 0.000 0.523 1
Pr4 Pr 0.204 0.252 0.293 1
Sc1 Sc 0.000 0.268 0.500 1
```

[11]
Here is a relaxed structure of Pm2Pr3Sc2 from Alexandria. Energies are from GGA-PBE.

Values from the calculation:
ΔE_f (eV per atom): 0.043
Crystal system: triclinic
E (eV/f.u.): -36.20

Geometry as CIF:
```
data_Pm2Pr3Sc2
_space_group_name_H-M_alt 'P -1'
_space_group_IT_number 2
_cell_length_a 3.549
_cell_length_b 8.539
_cell_length_c 8.711
_cell_angle_alpha 62.27
_cell_angle_beta 89.97
_cell_angle_gamma 78.03
loop_
_space_group_symop_operation_xyz
'x,y,z'
'-x,-y,-z'
loop_
_atom_site_label
_atom_site_type_symbol
_atom_site_fract_x
_atom_site_fract_y
_atom_site_fract_z
_atom_site_occupancy
Pm1 Pm 0.131 0.238 0.316 1
Pr1 Pr 0.204 0.091 0.794 1
Pr2 Pr 0.500 0.500 0.500 1
Sc1 Sc 0.431 0.640 0.067 1
```

[12]
Here is a relaxed structure of Pm3Pr3Sc from Alexandria. Energies are from GGA-PBE.

Values from the calculation:
ΔE_f (eV per atom): 0.248
Crystal system: trigonal
Energy relative to the lowest polymorph listed for this composition (kcal/mol of atoms): 4.64
E (eV/f.u.): -33.18

Geometry as CIF:
```
data_Pm3Pr3Sc
_space_group_name_H-M_alt 'R -3'
_space_group_IT_number 148
_space_group_name_Hall '-R 3'
_cell_length_a 8.7174
_cell_length_b 8.7174
_cell_length_c 22.1689
_cell_angle_alpha 90.00
_cell_angle_beta 90.00
_cell_angle_gamma 120.00
loop_
_atom_site_label
_atom_site_type_symbol
_atom_site_fract_x
_atom_site_fract_y
_atom_site_fract_z
_atom_site_occupancy
Pm1 Pm 0.0501 0.4450 0.3816 1
Pr1 Pr 0.0101 0.2518 0.5567 1
Sc1 Sc 0.0000 0.0000 0.1584 1
```

[13]
Here is a relaxed structure of Pm8PrSc4 from Alexandria. Energies are from GGA-PBE.

Values from the calculation:
ΔE_f (eV per atom): 0.231
Crystal system: trigonal
E (eV/f.u.): -65.11

Geometry as CIF:
```
data_Pm8PrSc4
_space_group_name_H-M_alt 'R -3 m'
_space_group_IT_number 166
_space_group_name_Hall '-R 3 2"'
_cell_length_a 7.1479
_cell_length_b 7.1479
_cell_length_c 27.9485
_cell_angle_alpha 90.00
_cell_angle_beta 90.00
_cell_angle_gamma 120.00
loop_
_atom_site_label
_atom_site_type_symbol
_atom_site_fract_x
_atom_site_fract_y
_atom_site_fract_z
_atom_site_occupancy
Pm1 Pm 0.0000 0.0000 0.2156 1
Pm2 Pm 0.0291 0.5145 0.7610 1
Pr1 Pr 0.0000 0.0000 0.5000 1
Sc1 Sc 0.0000 0.0000 0.0000 1
Sc2 Sc 0.0000 0.5000 0.0000 1
```

[14]
Here is a relaxed structure of Pm12Pr7Sc from Alexandria. Energies are from GGA-PBE.

Values from the calculation:
ΔE_f (eV per atom): 0.621
Crystal system: cubic
Energy relative to the lowest polymorph listed for this composition (kcal/mol of atoms): 9.12
E (eV/f.u.): -84.37

Geometry as CIF:
```
data_Pm12Pr7Sc
_space_group_name_H-M_alt 'I m -3 m'
_space_group_IT_number 229
_space_group_name_Hall '-I 4 2 3'
_cell_length_a 11.605
_cell_length_b 11.605
_cell_length_c 11.605
_cell_angle_alpha 90.00
_cell_angle_beta 90.00
_cell_angle_gamma 90.00
loop_
_atom_site_label
_atom_site_type_symbol
_atom_site_fract_x
_atom_site_fract_y
_atom_site_fract_z
_atom_site_occupancy
Pm1 Pm 0.000 0.243 0.243 1
Pr1 Pr 0.000 0.000 0.500 1
Pr2 Pr 0.250 0.250 0.250 1
Sc1 Sc 0.000 0.000 0.000 1
```

[15]
Here is a relaxed structure of PmPr6Sc2 from Alexandria. Energies are from GGA-PBE.

Values from the calculation:
ΔE_f (eV per atom): 0.176
Crystal system: monoclinic
Energy relative to the lowest polymorph listed for this composition (kcal/mol of atoms): 0.00
E (eV/f.u.): -44.51

Geometry as CIF:
```
data_PmPr6Sc2
_space_group_name_H-M_alt 'C 1 2/c 1'
_space_group_IT_number 15
_cell_length_a 10.766
_cell_length_b 10.245
_cell_length_c 12.098
_cell_angle_alpha 90.00
_cell_angle_beta 115.61
_cell_angle_gamma 90.00
loop_
_space_group_symop_operation_xyz
'x,y,z'
'-x,-y,-z'
'-x,y,-z+1/2'
'x,-y,z+1/2'
'x+1/2,y+1/2,z'
'-x+1/2,-y+1/2,-z'
'-x+1/2,y+1/2,-z+1/2'
'x+1/2,-y+1/2,z+1/2'
loop_
_atom_site_label
_atom_site_type_symbol
_atom_site_fract_x
_atom_site_fract_y
_atom_site_fract_z
_atom_site_occupancy
Pm1 Pm 0.000 0.205 0.250 1
Pr1 Pr 0.012 0.111 0.895 1
Pr2 Pr 0.163 0.357 0.566 1
Pr3 Pr 0.170 0.460 0.846 1
Sc1 Sc 0.197 0.331 0.129 1
```

[16]
Here is a relaxed structure of Pm7Pr12Sc from Alexandria. Energies are from GGA-PBE.

Values from the calculation:
ΔE_f (eV per atom): 0.139
Crystal system: trigonal
Energy relative to the lowest polymorph listed for this composition (kcal/mol of atoms): 0.00
E (eV/f.u.): -94.17

Geometry as CIF:
```
data_Pm7Pr12Sc
_space_group_name_H-M_alt 'R -3'
_space_group_IT_number 148
_space_group_name_Hall '-R 3'
_cell_length_a 15.3879
_cell_length_b 15.3879
_cell_length_c 10.2190
_cell_angle_alpha 90.00
_cell_angle_beta 90.00
_cell_angle_gamma 120.00
loop_
_atom_site_label
_atom_site_type_symbol
_atom_site_fract_x
_atom_site_fract_y
_atom_site_fract_z
_atom_site_occupancy
Pm1 Pm 0.0000 0.0000 0.0000 1
Pm2 Pm 0.0684 0.8118 0.4326 1
Pr1 Pr 0.0199 0.7727 0.0515 1
Pr2 Pr 0.0502 0.8685 0.7374 1
Sc1 Sc 0.0000 0.0000 0.5000 1
```

[17]
Here is a relaxed structure of Pm5Pr4Sc2 from Alexandria. Energies are from GGA-PBE.

Values from the calculation:
ΔE_f (eV per atom): 0.273
Crystal system: orthorhombic
Energy relative to the lowest polymorph listed for this composition (kcal/mol of atoms): 3.69
E (eV/f.u.): -52.54

Geometry as CIF:
```
data_Pm5Pr4Sc2
_space_group_name_H-M_alt 'I m m m'
_space_group_IT_number 71
_space_group_name_Hall '-I 2 2'
_cell_length_a 3.496
_cell_length_b 9.695
_cell_length_c 22.405
_cell_angle_alpha 90.00
_cell_angle_beta 90.00
_cell_angle_gamma 90.00
loop_
_atom_site_label
_atom_site_type_symbol
_atom_site_fract_x
_atom_site_fract_y
_atom_site_fract_z
_atom_site_occupancy
Pm1 Pm 0.000 0.000 0.000 1
Pm2 Pm 0.000 0.286 0.341 1
Pr1 Pr 0.000 0.208 0.500 1
Pr2 Pr 0.000 0.500 0.098 1
Sc1 Sc 0.000 0.500 0.231 1
```

[18]
Here is a relaxed structure of PmPr2Sc from Alexandria. Energies are from GGA-PBE.

Values from the calculation:
ΔE_f (eV per atom): 0.044
Crystal system: monoclinic
Energy relative to the lowest polymorph listed for this composition (kcal/mol of atoms): 0.14
E (eV/f.u.): -20.46

Geometry as CIF:
```
data_PmPr2Sc
_space_group_name_H-M_alt 'C 1 2/m 1'
_space_group_IT_number 12
_cell_length_a 12.301
_cell_length_b 7.198
_cell_length_c 6.178
_cell_angle_alpha 90.00
_cell_angle_beta 108.00
_cell_angle_gamma 90.00
loop_
_space_group_symop_operation_xyz
'x,y,z'
'-x,-y,-z'
'-x,y,-z'
'x,-y,z'
'x+1/2,y+1/2,z'
'-x+1/2,-y+1/2,-z'
'-x+1/2,y+1/2,-z'
'x+1/2,-y+1/2,z'
loop_
_atom_site_label
_atom_site_type_symbol
_atom_site_fract_x
_atom_site_fract_y
_atom_site_fract_z
_atom_site_occupancy
Pm1 Pm 0.126 0.000 0.255 1
Pr1 Pr 0.125 0.254 0.749 1
Sc1 Sc 0.122 0.500 0.242 1
```